A plane-wave DFT calculation with PBE was carried out for a relaxed structure of Be2NiSe.

Summary:
Formation energy without anion corrections, eV per atom: 0.38
SG: No. 216

Cell and atoms, written as POSCAR:
```
Be2NiSe
1.0
-3.416 -1.228 1.905
0.076 -0.828 4.015
-1.885 2.502 2.645
Be Ni Se
2 1 1
direct
0.250 0.250 0.250
0.000 0.000 0.000
0.500 0.500 0.500
0.750 0.750 0.750
```

A plane-wave DFT calculation with PBE was carried out for a relaxed structure of Be2NiSe.

Summary:
Formation energy without anion corrections, eV per atom: 0.04
SG: No. 123

Cell and atoms, written as POSCAR:
```
Be2NiSe
1.0
-1.767 -1.015 -2.377
-0.354 -2.757 1.440
-3.820 1.614 2.150
Se Be Ni
1 2 1
direct
0.500 0.500 0.750
0.000 0.000 0.487
0.000 0.000 0.013
0.500 0.500 0.250
```

A plane-wave DFT calculation with PBE was carried out for a relaxed structure of Be2NiSe.

Summary:
Formation energy without anion corrections, eV per atom: 0.23
SG: No. 122

Cell and atoms, written as POSCAR:
```
Be2NiSe
1.0
5.090 0.000 0.000
0.000 5.090 0.000
2.545 2.545 4.906
Be Ni Se
4 2 2
direct
0.616 0.125 0.250
0.375 0.384 0.750
0.875 0.866 0.750
0.134 0.625 0.250
0.250 0.750 0.500
0.500 0.500 0.000
0.000 0.000 0.000
0.750 0.250 0.500
```

A plane-wave DFT calculation with PBE was carried out for a relaxed structure of BeNiSe3.

Summary:
Formation energy without anion corrections, eV per atom: 0.62
SG: No. 221
Energy above the most stable polymorph in this dataset, meV/atom: 0.0

Cell and atoms, written as POSCAR:
```
BeNiSe3
1.0
-3.633 2.626 -0.646
-1.049 -2.365 -3.717
-2.493 -2.832 2.505
Ni Se Be
1 3 1
direct
0.500 0.500 0.500
0.000 0.000 0.500
0.000 0.500 0.000
0.500 0.000 0.000
0.000 0.000 0.000
```

A plane-wave DFT calculation with PBE was carried out for a relaxed structure of Be2NiSe.

Summary:
Formation energy without anion corrections, eV per atom: 0.26
SG: No. 166

Cell and atoms, written as POSCAR:
```
Be2NiSe
1.0
-2.466 1.636 -4.887
-4.160 -0.995 -3.787
-4.732 2.005 -2.494
Be Ni Se
2 1 1
direct
0.996 0.996 0.996
0.504 0.504 0.504
0.250 0.250 0.250
0.750 0.750 0.750
```

A plane-wave DFT calculation with PBE was carried out for a relaxed structure of BeNiSe3.

Summary:
Formation energy without anion corrections, eV per atom: 0.71
SG: No. 221
Energy above the most stable polymorph in this dataset, meV/atom: 91.4

Cell and atoms, written as POSCAR:
```
BeNiSe3
1.0
-0.709 -4.213 1.819
2.377 1.237 3.792
-3.925 1.510 1.968
Se Be Ni
3 1 1
direct
0.000 0.000 0.500
0.500 0.000 0.000
0.000 0.500 0.000
0.500 0.500 0.500
0.000 0.000 0.000
```

A plane-wave DFT calculation with PBE was carried out for a relaxed structure of Be3NiSe.

Summary:
Formation energy without anion corrections, eV per atom: 0.53
SG: No. 221
Energy above the most stable polymorph in this dataset, meV/atom: 0.0

Cell and atoms, written as POSCAR:
```
Be3NiSe
1.0
-1.482 -1.787 3.335
3.635 0.321 1.787
-1.050 3.635 1.482
Se Be Ni
1 3 1
direct
0.500 0.500 0.500
0.000 0.500 0.000
0.000 0.000 0.500
0.500 0.000 0.000
0.000 0.000 0.000
```

A plane-wave DFT calculation with PBE was carried out for a relaxed structure of Be2NiSe.

Summary:
Formation energy without anion corrections, eV per atom: 0.07
SG: No. 99

Cell and atoms, written as POSCAR:
```
Be2NiSe
1.0
3.137 0.000 0.000
0.000 3.137 0.000
0.000 0.000 4.756
Se Be Ni
1 2 1
direct
0.500 0.500 0.775
0.500 0.500 0.264
0.000 0.000 0.006
0.000 0.000 0.455
```

no.,ρ (Mg/m³),magnetization (μB/f.u.)
1,5.30,0.00
2,5.65,0.00
3,4.07,0.00
4,5.44,1.04
5,5.04,0.00
6,5.05,0.00
7,4.08,0.00
8,5.52,0.00